# 1
A geometry-optimized TlIrPb2 structure, computed with GGA-PBE.

Lattice parameters (Å, degrees): 3.2734 4.6897 13.4648 90.00 90.00 90.00
Space group Immm (No. 71)
One atom of each set of equivalent atoms:
Tl 0.0000 0.0000 0.0000 (multiplicity 2)
Ir 0.0000 0.0000 0.5000 (multiplicity 2)
Pb 0.0000 0.5000 0.1832 (multiplicity 4)

Summary:
The density of states at the Fermi level is 0.512 states/eV per atom. As for the electronic total energy: -4.413 eV per atom. The total magnetic moment is 0.0 μB per formula unit. The calculation puts the formation energy at 0.2482 eV/atom.

=====

# 2
A geometry-optimized Er2MgBe2Pd5 structure, computed with GGA-PBE.

Lattice parameters (Å, degrees): 9.6518 9.6518 3.4588 90.00 90.00 90.00
Space group P4/mbm (No. 127)
One atom of each set of equivalent atoms:
Er 0.1769 0.3231 0.0000 (multiplicity 4)
Mg 0.0000 0.0000 0.0000 (multiplicity 2)
Be 0.1197 0.6197 0.0000 (multiplicity 4)
Pd 0.0000 0.5000 0.5000 (multiplicity 2)
Pd 0.0689 0.7826 0.5000 (multiplicity 8)

Summary:
The density of states at the Fermi level is 0.394 states/eV per atom. As for the electronic total energy: -5.196 eV per atom. The total magnetic moment is 0.0 μB per formula unit. The calculation puts the formation energy at -0.7819 eV/atom.

=====

# 3
A geometry-optimized ZrMnSN2 structure, computed with GGA-PBE.

Lattice parameters (Å, degrees): 3.6957 3.6957 4.5424 90.00 90.00 90.00
Space group P4/mmm (No. 123)
One atom of each set of equivalent atoms:
Zr 0.0000 0.0000 0.0000 (multiplicity 1)
Mn 0.5000 0.5000 0.5000 (multiplicity 1)
S 0.5000 0.5000 0.0000 (multiplicity 1)
N 0.0000 0.5000 0.5000 (multiplicity 2)

Summary:
The density of states at the Fermi level is 0.930 states/eV per atom. As for the electronic total energy: -7.737 eV per atom. The total magnetic moment is 0.0 μB per formula unit.

=====

# 4
A geometry-optimized TaCrBr2 structure, computed with GGA-PBE.

Lattice parameters (Å, degrees): 3.2559 3.2559 31.9723 90.00 90.00 120.00
Space group R-3m (No. 166, hexagonal axes)
One atom of each set of equivalent atoms:
Ta 0.0000 0.0000 0.0000 (multiplicity 3)
Cr 0.0000 0.0000 0.5000 (multiplicity 3)
Br 0.0000 0.0000 0.2733 (multiplicity 6)

Summary:
The density of states at the Fermi level is 0.240 states/eV per atom. As for the electronic total energy: -5.850 eV per atom. The total magnetic moment is 4.9 μB per formula unit.

=====

# 5
A geometry-optimized Pm3Nd2Pt2 structure, computed with GGA-PBE.

Lattice parameters (Å, degrees): 12.5726 3.8816 9.2793 90.00 115.68 90.00
Space group C2/m (No. 12)
One atom of each set of equivalent atoms:
Pm 0.0000 0.0000 0.0000 (multiplicity 2)
Pm 0.1155 0.0000 0.4339 (multiplicity 4)
Nd 0.1632 0.5000 0.8118 (multiplicity 4)
Pt 0.1704 0.5000 0.2376 (multiplicity 4)

Summary:
The density of states at the Fermi level is 1.201 states/eV per atom. As for the electronic total energy: -5.826 eV per atom. The total magnetic moment is 0.0 μB per formula unit. The calculation puts the formation energy at -0.7014 eV/atom.

=====

# 6
A geometry-optimized TbGaGeIr2 structure, computed with GGA-PBE.

Lattice parameters (Å, degrees): 4.2673 12.9006 7.0875 90.00 90.00 90.00
Space group Cmcm (No. 63)
One atom of each set of equivalent atoms:
Tb 0.0000 0.1135 0.2500 (multiplicity 4)
Ga 0.0000 0.1982 0.7500 (multiplicity 4)
Ge 0.0000 0.5000 0.0000 (multiplicity 4)
Ir 0.0000 0.3203 0.0448 (multiplicity 8)

Summary:
The density of states at the Fermi level is 0.601 states/eV per atom. As for the electronic total energy: -6.501 eV per atom. The total magnetic moment is 0.0 μB per formula unit. The calculation puts the formation energy at -0.5020 eV/atom.

=====

# 7
A geometry-optimized Ba2Ag2BiO6 structure, computed with GGA-PBE.

Lattice parameters (Å, degrees): 6.4658 6.4658 16.8547 90.00 90.00 120.00
Space group R-3m (No. 166, hexagonal axes)
One atom of each set of equivalent atoms:
Ba 0.0000 0.0000 0.2151 (multiplicity 6)
Ag 0.0000 0.0000 0.4138 (multiplicity 6)
Bi 0.0000 0.0000 0.0000 (multiplicity 3)
O 0.0452 0.5226 0.7520 (multiplicity 18)

Summary:
The density of states at the Fermi level is 0.904 states/eV per atom. As for the electronic total energy: -5.125 eV per atom. The total magnetic moment is 0.6 μB per formula unit.

=====

# 8
A geometry-optimized PmPa3S6 structure, computed with GGA-PBE.

Lattice parameters (Å, degrees): 11.0090 3.8981 11.4191 90.00 107.04 90.00
Space group P2_1/m (No. 11)
One atom of each set of equivalent atoms:
Pm 0.0463 0.2500 0.1941 (multiplicity 2)
Pa 0.1496 0.2500 0.5732 (multiplicity 2)
Pa 0.3187 0.7500 0.9992 (multiplicity 2)
Pa 0.4265 0.2500 0.3363 (multiplicity 2)
S 0.0853 0.7500 0.3950 (multiplicity 2)
S 0.1225 0.2500 0.9644 (multiplicity 2)
S 0.1963 0.7500 0.7479 (multiplicity 2)
S 0.2569 0.7500 0.2214 (multiplicity 2)
S 0.3966 0.2500 0.5693 (multiplicity 2)
S 0.4898 0.2500 0.1229 (multiplicity 2)

Summary:
The density of states at the Fermi level is 1.222 states/eV per atom. As for the electronic total energy: -7.462 eV per atom. The total magnetic moment is 4.2 μB per formula unit.

=====

# 9
A geometry-optimized PrNd2ThBi5 structure, computed with GGA-PBE.

Lattice parameters (Å, degrees): 5.7256 5.7256 12.1582 90.00 90.00 90.00
Space group P4/mmm (No. 123)
One atom of each set of equivalent atoms:
Pr 0.0000 0.0000 0.0000 (multiplicity 1)
Nd 0.5000 0.5000 0.2720 (multiplicity 2)
Th 0.0000 0.0000 0.5000 (multiplicity 1)
Bi 0.0000 0.0000 0.2462 (multiplicity 2)
Bi 0.0000 0.5000 0.5000 (multiplicity 2)
Bi 0.5000 0.5000 0.0000 (multiplicity 1)

Summary:
The density of states at the Fermi level is 0.698 states/eV per atom. As for the electronic total energy: -4.548 eV per atom. The total magnetic moment is 0.0 μB per formula unit. The calculation puts the formation energy at 0.0233 eV/atom.

=====

# 10
A geometry-optimized Zr4GeSb structure, computed with GGA-PBE.

Lattice parameters (Å, degrees): 7.9276 12.5899 5.5811 90.00 110.68 90.00
Space group C2/c (No. 15)
One atom of each set of equivalent atoms:
Zr 0.0969 0.1870 0.0574 (multiplicity 8)
Zr 0.2043 0.4079 0.3561 (multiplicity 8)
Ge 0.0000 0.0035 0.7500 (multiplicity 4)
Sb 0.0000 0.3855 0.7500 (multiplicity 4)

Summary:
The density of states at the Fermi level is 0.661 states/eV per atom. As for the electronic total energy: -7.746 eV per atom. The total magnetic moment is 0.0 μB per formula unit.

=====

# 11
A geometry-optimized Li15Ac6In8 structure, computed with GGA-PBE.

Lattice parameters (Å, degrees): 14.2748 14.2748 14.2748 90.00 90.00 90.00
Space group Fm-3m (No. 225)
One atom of each set of equivalent atoms:
Li 0.0000 0.0000 0.0000 (multiplicity 4)
Li 0.0000 0.2500 0.2500 (multiplicity 24)
Li 0.1772 0.1772 0.3228 (multiplicity 32)
Ac 0.0000 0.0000 0.2912 (multiplicity 24)
In 0.1243 0.1243 0.1243 (multiplicity 32)

Summary:
The density of states at the Fermi level is 0.579 states/eV per atom. As for the electronic total energy: -2.813 eV per atom. The total magnetic moment is 0.0 μB per formula unit. The calculation puts the formation energy at -0.2175 eV/atom.

=====

# 12
A geometry-optimized KLi2Mn structure, computed with GGA-PBE.

Lattice parameters (Å, degrees): 7.6107 7.9725 3.3016 90.00 90.00 90.00
Space group Cmmm (No. 65)
One atom of each set of equivalent atoms:
K 0.0000 0.0000 0.0000 (multiplicity 2)
Li 0.2500 0.2500 0.5000 (multiplicity 4)
Mn 0.0000 0.5000 0.0000 (multiplicity 2)

Summary:
The density of states at the Fermi level is 0.872 states/eV per atom. As for the electronic total energy: -2.925 eV per atom. The total magnetic moment is 4.0 μB per formula unit. The calculation puts the formation energy at 0.5989 eV/atom.

=====

# 13
A geometry-optimized In2AgHg structure, computed with GGA-PBE.

Lattice parameters (Å, degrees): 12.1449 3.1270 5.3169 90.00 107.06 90.00
Space group Cm (No. 8)
One atom of each set of equivalent atoms:
In 0.0000 0.0000 0.0000 (multiplicity 2)
In 0.2122 0.0000 0.6126 (multiplicity 2)
Ag 0.4805 0.0000 0.5011 (multiplicity 2)
Hg 0.2676 0.5000 0.1518 (multiplicity 2)

Summary:
The density of states at the Fermi level is 0.258 states/eV per atom. As for the electronic total energy: -2.125 eV per atom. The total magnetic moment is 0.0 μB per formula unit. The calculation puts the formation energy at 0.0328 eV/atom.

=====

# 14
A geometry-optimized AgRhSeI2 structure, computed with GGA-PBE.

Lattice parameters (Å, degrees): 5.5154 5.5154 5.3316 90.00 90.00 90.00
Space group P4/mmm (No. 123)
One atom of each set of equivalent atoms:
Ag 0.0000 0.0000 0.0000 (multiplicity 1)
Rh 0.0000 0.0000 0.5000 (multiplicity 1)
Se 0.5000 0.5000 0.5000 (multiplicity 1)
I 0.0000 0.5000 0.0000 (multiplicity 2)

Summary:
The density of states at the Fermi level is 1.574 states/eV per atom. As for the electronic total energy: -2.280 eV per atom. The total magnetic moment is 3.7 μB per formula unit.

=====

# 15
A geometry-optimized NaPm2Br6 structure, computed with GGA-PBE.

Lattice parameters (Å, degrees): 7.0888 7.0888 12.5382 90.00 90.00 90.00
Space group P4_2/mnm (No. 136)
One atom of each set of equivalent atoms:
Na 0.0000 0.0000 0.0000 (multiplicity 2)
Pm 0.0000 0.0000 0.3460 (multiplicity 4)
Br 0.2073 0.2073 0.1732 (multiplicity 8)
Br 0.2138 0.2138 0.5000 (multiplicity 4)

Summary:
The density of states at the Fermi level is 0.036 states/eV per atom. As for the electronic total energy: -4.007 eV per atom. The total magnetic moment is 1.0 μB per formula unit.

=====

# 16
A geometry-optimized Cr2NiSe structure, computed with GGA-PBE.

Lattice parameters (Å, degrees): 5.1827 6.7515 3.0376 90.00 90.00 90.00
Space group Cmmm (No. 65)
One atom of each set of equivalent atoms:
Cr 0.2500 0.2500 0.0000 (multiplicity 4)
Ni 0.0000 0.0000 0.5000 (multiplicity 2)
Se 0.0000 0.5000 0.5000 (multiplicity 2)

Summary:
The density of states at the Fermi level is 1.108 states/eV per atom. As for the electronic total energy: -6.856 eV per atom. The total magnetic moment is 4.5 μB per formula unit.

=====

# 17
A geometry-optimized ZnPAu2 structure, computed with GGA-PBE.

Lattice parameters (Å, degrees): 4.3543 4.3543 16.0599 90.00 90.00 90.00
Space group I-42d (No. 122)
One atom of each set of equivalent atoms:
Zn 0.0000 0.0000 0.0000 (multiplicity 4)
P 0.0000 0.0000 0.5000 (multiplicity 4)
Au 0.2214 0.2500 0.6250 (multiplicity 8)

Summary:
The density of states at the Fermi level is 0.395 states/eV per atom. As for the electronic total energy: -3.238 eV per atom. The total magnetic moment is 0.0 μB per formula unit. The calculation puts the formation energy at 0.0718 eV/atom.

=====

# 18
A geometry-optimized BeSbAu structure, computed with GGA-PBE.

Lattice parameters (Å, degrees): 7.7823 4.4992 6.3233 90.00 90.00 90.00
Space group Pnma (No. 62)
One atom of each set of equivalent atoms:
Be 0.0000 0.0000 0.0000 (multiplicity 4)
Sb 0.2174 0.2500 0.2843 (multiplicity 4)
Au 0.0419 0.2500 0.6751 (multiplicity 4)

Summary:
The density of states at the Fermi level is 0.365 states/eV per atom. As for the electronic total energy: -3.627 eV per atom. The total magnetic moment is 0.0 μB per formula unit.

=====

# 19
A geometry-optimized MoPd2Pb structure, computed with GGA-PBE.

Lattice parameters (Å, degrees): 5.9476 5.9476 11.8722 90.00 90.00 90.00
Space group I-42d (No. 122)
One atom of each set of equivalent atoms:
Mo 0.0000 0.0000 0.0000 (multiplicity 4)
Pd 0.2109 0.2500 0.1250 (multiplicity 8)
Pb 0.0000 0.0000 0.5000 (multiplicity 4)

Summary:
The density of states at the Fermi level is 1.238 states/eV per atom. As for the electronic total energy: -5.322 eV per atom. The total magnetic moment is 0.0 μB per formula unit. The calculation puts the formation energy at 0.9096 eV/atom.

=====

# 20
A geometry-optimized Ho3Ga2Rh3 structure, computed with GGA-PBE.

Lattice parameters (Å, degrees): 7.5233 14.9260 5.6510 90.00 90.00 90.00
Space group Pnma (No. 62)
One atom of each set of equivalent atoms:
Ho 0.0288 0.1044 0.1399 (multiplicity 8)
Ho 0.1734 0.2500 0.6012 (multiplicity 4)
Ga 0.1162 0.6086 0.3658 (multiplicity 8)
Rh 0.1785 0.7500 0.6231 (multiplicity 4)
Rh 0.1817 0.0357 0.5854 (multiplicity 8)

Summary:
The density of states at the Fermi level is 0.652 states/eV per atom. As for the electronic total energy: -6.080 eV per atom. The total magnetic moment is 0.0 μB per formula unit. The calculation puts the formation energy at -0.8494 eV/atom.